Entry 1:
A crystal of Sn3MoSe relaxed with PBEsol, computed with meta-GGA SCAN.

Calculated values
Crystal system = cubic
Raw total energy = -31.3306 eV per atom
Formation energy (no corrections) = 1.21 eV per atom

Unit cell a=5.313 b=5.313 c=5.313 alpha=90.00 beta=90.00 gamma=90.00
Fractional coordinates of all 5 atoms:
Mo1 0.500 0.500 0.500
Se1 0.000 0.000 0.000
Sn1 0.500 0.000 0.000
Sn2 0.000 0.500 0.000
Sn3 0.000 0.000 0.500



Entry 2:
A crystal of Ba2ScTc relaxed with PBEsol, computed with meta-GGA SCAN.

Calculated values
Polymorph energy (0 for the lowest one) = 5.1 kJ/mol of formula units
Crystal system = tetragonal
Raw total energy = -31.7134 eV per atom
Energy of formation from the pure elements = 0.3860 eV per atom

Unit cell a=3.686 b=3.686 c=9.239 alpha=90.00 beta=90.00 gamma=89.99
Fractional coordinates of all 4 atoms:
Sc1 0.000 0.000 0.420
Ba1 0.500 0.500 0.679
Ba2 0.000 0.000 0.077
Tc1 0.500 0.500 0.324



Entry 3:
A crystal of TaSe2Br relaxed with PBEsol, computed with meta-GGA SCAN.

Calculated values
Polymorph energy (0 for the lowest one) = 402.1 kJ/mol of formula units
Crystal system = tetragonal
Raw total energy = -31.1768 eV per atom
Formation energy (no corrections) = 0.37 eV per atom

Unit cell a=4.744 b=4.697 c=4.744 alpha=120.33 beta=90.00 gamma=120.33
Fractional coordinates of all 4 atoms:
Ta1 0.500 0.000 0.500
Se1 0.250 0.500 0.750
Se2 0.750 0.500 0.250
Br1 0.000 0.000 0.000



Entry 4:
A crystal of NbHgPd3 relaxed with PBEsol, computed with meta-GGA SCAN.

Calculated values
Crystal system = cubic
Raw total energy = -38.9762 eV per atom
Energy of formation from the pure elements = 0.9475 eV per atom

Unit cell a=4.783 b=4.783 c=4.783 alpha=90.00 beta=90.00 gamma=90.00
Fractional coordinates of all 5 atoms:
Nb1 0.000 0.000 0.000
Pd1 0.000 0.500 0.000
Pd2 0.000 0.000 0.500
Pd3 0.500 0.000 0.000
Hg1 0.500 0.500 0.500



Entry 5:
A crystal of Mn3InF relaxed with PBEsol, computed with meta-GGA SCAN.

Calculated values
Crystal system = cubic
Raw total energy = -18.0552 eV per atom
Formation energy (no corrections) = 0.28 eV per atom

Unit cell a=5.117 b=5.117 c=5.117 alpha=90.00 beta=90.00 gamma=90.00
Fractional coordinates of all 5 atoms:
Mn1 0.000 0.000 0.500
Mn2 0.500 0.000 0.000
Mn3 0.000 0.500 0.000
F1 0.500 0.500 0.500
In1 0.000 0.000 0.000



Entry 6:
A crystal of La2SiTc relaxed with PBEsol, computed with meta-GGA SCAN.

Calculated values
Crystal system = trigonal
Raw total energy = -33.1956 eV per atom
Formation energy (no corrections) = -0.37 eV per atom

Unit cell a=4.215 b=4.215 c=7.292 alpha=73.20 beta=73.20 gamma=60.00
Fractional coordinates of all 4 atoms:
La1 0.034 0.034 0.898
La2 0.216 0.216 0.352
Tc1 0.793 0.793 0.621
Si1 0.457 0.457 0.628